# LaAlC3 (PBE, relaxed)
# Energy relative to the lowest polymorph listed for this composition = 0.000 eV per atom
# Density of states at the Fermi level = 3.1 states/eV per cell
# ΔH_f (0 K) = 1.04 eV per atom
data_LaAlC3
_chemical_formula_sum 'La1 Al1 C3'
_cell_length_a 4.0299
_cell_length_b 4.0299
_cell_length_c 4.0299
_cell_angle_alpha 90.00
_cell_angle_beta 90.00
_cell_angle_gamma 90.00
_space_group_name_H-M_alt 'P 1'
_space_group_IT_number 1
loop_
_space_group_symop_operation_xyz
'x,y,z'
loop_
_atom_site_label
_atom_site_type_symbol
_atom_site_fract_x
_atom_site_fract_y
_atom_site_fract_z
C1 C 0.0000 0.5000 0.0000
C2 C 0.0000 0.0000 0.5000
C3 C 0.5000 0.0000 0.0000
Al1 Al 0.0000 0.0000 0.0000
La1 La 0.5000 0.5000 0.5000